1.
Material: BaH4Pd2
Method: DFT, PBE-GGA
State: optimized geometry

Values from the calculation:
total magnetization: 0.00 μB per formula unit
calculated total energy: -55.15 eV per cell
SG: No. 87
N(E_F): 3.5 states/eV per cell

POSCAR file:
```
BaH4Pd2
1.0
6.289 0.000 0.000
0.000 6.289 0.000
0.000 0.000 5.364
Ba H Pd
2 8 4
direct
0.000 0.000 0.000 Ba
0.500 0.500 0.500 Ba
0.051 0.322 0.500 H
0.178 0.551 0.000 H
0.322 0.949 0.500 H
0.449 0.178 0.000 H
0.551 0.822 0.000 H
0.678 0.051 0.500 H
0.822 0.449 0.000 H
0.949 0.678 0.500 H
0.000 0.500 0.250 Pd
0.000 0.500 0.750 Pd
0.500 0.000 0.250 Pd
0.500 0.000 0.750 Pd
```

=====

2.
Material: Nd2CuGe4Rh3
Method: DFT, PBE-GGA
State: optimized geometry

Values from the calculation:
ΔE_f: -0.75 eV per atom
total magnetization: 0.00 μB per formula unit
SG: No. 115
N(E_F): 6.5 states/eV per cell

POSCAR file:
```
Nd2CuGe4Rh3
1.0
4.317 0.000 0.000
0.000 4.317 0.000
0.000 0.000 9.962
Nd Cu Ge Rh
2 1 4 3
direct
0.000 0.500 0.246 Nd
0.500 0.000 0.754 Nd
0.000 0.000 0.500 Cu
0.000 0.000 0.000 Ge
0.000 0.500 0.629 Ge
0.500 0.000 0.371 Ge
0.500 0.500 0.000 Ge
0.000 0.500 0.874 Rh
0.500 0.000 0.126 Rh
0.500 0.500 0.500 Rh
```

=====

3.
Material: Pa2Pd7Au2
Method: DFT, PBE-GGA
State: optimized geometry

Values from the calculation:
ΔE_f: -0.40 eV per atom
total magnetization: 0.00 μB per formula unit
SG: No. 12
N(E_F): 8.6 states/eV per cell

POSCAR file:
```
Pa2Pd7Au2
1.0
4.999 -4.382 0.000
4.999 4.382 0.000
-0.466 0.000 4.730
Pa Pd Au
2 7 2
direct
0.220 0.780 0.000 Pa
0.780 0.220 0.000 Pa
0.000 0.000 0.500 Pd
0.033 0.385 0.729 Pd
0.385 0.033 0.729 Pd
0.438 0.438 0.729 Pd
0.562 0.562 0.271 Pd
0.615 0.967 0.271 Pd
0.967 0.615 0.271 Pd
0.255 0.255 0.232 Au
0.745 0.745 0.768 Au
```

=====

What is the formula in the third record?
Pa2Pd7Au2